# Mg2GeOsO6

A relaxed structure of Mg2GeOsO6 (PBE-GGA, Alexandria via LeMat-Bulk).

The structure in POSCAR format:
```
Mg2GeOsO6
1.0
5.3044 0.0000 0.0000
0.0000 5.3044 0.0000
0.0000 0.0000 4.7918
Mg Ge Os O
2 1 1 6
direct
0.0000 0.5000 0.0000
0.5000 0.0000 0.0000
0.0000 0.0000 0.6589
0.5000 0.5000 0.6709
0.0000 0.0000 0.2961
0.2510 0.2510 0.8168
0.2510 0.7490 0.8168
0.5000 0.5000 0.2962
0.7490 0.2510 0.8168
0.7490 0.7490 0.8168
```

## Properties
As for the symmetry: P4mm (99). The value obtained for the volume is 13.48 Å³ per atom. For the formation energy (no corrections), the calculation gives -1.43 eV/atom.